A relaxed Mn2CdSb2 crystal, computed with PBE.

Values from the calculation:
**Symmetry**: No. 127
**E_form (uncorrected)**: 519 meV/atom
**Fermi-level density of states**: 14.99 states/eV/cell
**Distance to the lowest polymorph of the same formula**: 250 meV/atom

Structure (extended XYZ):
```
10
Lattice="7.6874 0.0000 0.0000 0.0000 7.6874 0.0000 0.0000 0.0000 3.0075" Properties=species:S:1:pos:R:3 pbc="T T T"
Cd 0.0000 0.0000 0.0000
Sb 1.1376 2.7061 0.0000
Sb 2.7061 6.5498 0.0000
Sb 6.5498 4.9813 0.0000
Mn 6.5759 2.7323 1.5037
Mn 2.7323 1.1114 1.5037
Mn 4.9551 6.5759 1.5037
Sb 4.9813 1.1376 0.0000
Mn 1.1114 4.9551 1.5037
Cd 3.8437 3.8437 0.0000
```